Entry 1:
Here is TaIn2Re after structural relaxation from Alexandria. Energies are from PBE.

Properties
Its calculated total energy is -29.0 eV/cell. The magnetization is 0.0 Bohr magnetons per cell. For the formation enthalpy at 0 K, the calculation gives 19.6 kJ per mole of atoms. As for the crystal system: tetragonal. The calculation puts the distance to the lowest polymorph of the same formula at 0 meV/atom.

Cell: 3.2379 3.2379 7.6806 Å, 90.00 90.00 90.00°
With the nearest neighbours (Å) after each atom.
Space group P4mm (No. 99)
Symmetry-distinct sites (fractional):
Ta  0.0000  0.0000  0.0000 (multiplicity 1)  4 Re 2.68
In  0.0000  0.0000  0.5806 (multiplicity 1)  4 Re 2.93, 1 Ta 3.22, 4 In 3.24
In  0.5000  0.5000  0.2625 (multiplicity 1)  4 Ta 3.05, 8 In 3.24-3.35, 1 Re 3.41
Re  0.5000  0.5000  0.8181 (multiplicity 1)  4 Ta 2.68, 4 In 2.93



Entry 2:
Here is Ta2InRe2 after structural relaxation from Alexandria. Energies are from PBE.

Properties
Its calculated total energy is -99.0 eV/cell. The magnetization is 0.0 Bohr magnetons per cell. For the formation enthalpy at 0 K, the calculation gives 35.1 kJ per mole of atoms. As for the crystal system: tetragonal. The calculation puts the distance to the lowest polymorph of the same formula at 104 meV/atom.

Cell: 7.8488 7.8488 3.0091 Å, 90.00 90.00 90.00°
With the nearest neighbours (Å) after each atom.
Space group P4/mbm (No. 127)
Symmetry-distinct sites (fractional):
Ta  0.1419  0.3581  0.0000 (multiplicity 4)  6 Re 2.75, 2 Ta 3.01, 2 In 3.02
In  0.0000  0.0000  0.0000 (multiplicity 2)  2 In 3.01, 4 Ta 3.02, 8 Re 3.34
Re  0.1508  0.6508  0.5000 (multiplicity 4)  6 Ta 2.75, 2 Re 3.01



Entry 3:
Here is TaInRe3 after structural relaxation from Alexandria. Energies are from PBE.

Properties
Its calculated total energy is -38.0 eV/cell. The magnetization is 0.0 Bohr magnetons per cell. For the formation enthalpy at 0 K, the calculation gives 269.6 kJ per mole of atoms. As for the crystal system: cubic. The calculation puts the distance to the lowest polymorph of the same formula at 636 meV/atom.

Cell: 4.7199 4.7199 4.7199 Å, 90.00 90.00 90.00°
With the nearest neighbours (Å) after each atom.
Space group Pm-3m (No. 221)
Symmetry-distinct sites (fractional):
Ta  0.0000  0.0000  0.0000 (multiplicity 1)  12 Re 3.34
In  0.5000  0.5000  0.5000 (multiplicity 1)  6 Re 2.36
Re  0.0000  0.5000  0.5000 (multiplicity 3)  2 In 2.36



Entry 4:
Here is TaIn2Re after structural relaxation from Alexandria. Energies are from PBE.

Properties
Its calculated total energy is -55.3 eV/cell. The magnetization is 0.0 Bohr magnetons per cell. For the formation enthalpy at 0 K, the calculation gives 50.7 kJ per mole of atoms. As for the crystal system: tetragonal. The calculation puts the distance to the lowest polymorph of the same formula at 323 meV/atom.

Cell: 4.0703 4.0703 9.0443 Å, 90.00 90.00 90.00°
With the nearest neighbours (Å) after each atom.
Space group I4/mmm (No. 139)
Symmetry-distinct sites (fractional):
Ta  0.0000  0.0000  0.0000 (multiplicity 2)  4 Re 2.88, 8 In 3.04
In  0.0000  0.5000  0.2500 (multiplicity 4)  4 In 2.88, 4 Ta 3.04, 4 Re 3.04
Re  0.0000  0.0000  0.5000 (multiplicity 2)  4 Ta 2.88, 8 In 3.04